(1)
{
  "formula": "Zr2SbO4",
  "functional": "GGA-PBE",
  "state": "optimized geometry",
  "crystal_system": "cubic",
  "total_magnetization_mub_per_atom": 0.000,
  "total_energy_ev_per_cell": -111.82,
  "lattice": [[4.7679, -4.7687, 0.0000], [-4.7679, 0.0000, -4.7687], [4.7679, 4.7687, 0.0000]],
  "species": ["Sb", "Sb", "O", "O", "O", "O", "O", "O", "O", "O", "Zr", "Zr", "Zr", "Zr"],
  "fractional_positions": [[0.7500, 0.5000, 0.2500], [0.0000, 0.0000, 0.0000], [0.1505, 0.3011, 0.4516], [0.5994, 0.1989, 0.4005], [0.1505, 0.6989, 0.8494], [0.5995, 0.8011, 0.4006], [0.5484, 0.6989, 0.8495], [0.2016, 0.8011, 0.4005], [0.5995, 0.1989, 0.7984], [0.1506, 0.3011, 0.8495], [0.8750, 0.2500, 0.6250], [0.3750, 0.7500, 0.1250], [0.3750, 0.7500, 0.6250], [0.3750, 0.2500, 0.6250]]
}

(2)
{
  "formula": "Sm3ScO6",
  "functional": "GGA-PBE",
  "state": "optimized geometry",
  "crystal_system": "orthorhombic",
  "total_magnetization_mub_per_atom": 0.000,
  "total_energy_ev_per_cell": -168.83,
  "lattice": [[4.5524, -5.6041, 0.0000], [4.5524, 5.6041, 0.0000], [0.0000, 0.0000, 5.6356]],
  "species": ["O", "O", "O", "O", "O", "O", "O", "O", "O", "O", "O", "O", "Sc", "Sc", "Sm", "Sm", "Sm", "Sm", "Sm", "Sm"],
  "fractional_positions": [[0.4805, 0.5195, 0.2099], [0.2769, 0.7231, 0.7806], [0.5984, 0.0916, 0.7639], [0.5195, 0.4805, 0.7099], [0.4016, 0.9084, 0.2639], [0.1460, 0.1749, 0.2338], [0.9084, 0.4016, 0.7639], [0.8251, 0.8540, 0.2338], [0.0916, 0.5984, 0.2639], [0.7231, 0.2769, 0.2806], [0.1749, 0.1460, 0.7338], [0.8540, 0.8251, 0.7338], [0.6681, 0.3319, 0.9396], [0.3319, 0.6681, 0.4396], [0.8063, 0.5859, 0.4562], [0.1032, 0.8968, 0.0093], [0.5859, 0.8063, 0.9562], [0.4141, 0.1937, 0.4562], [0.8968, 0.1032, 0.5093], [0.1937, 0.4141, 0.9562]]
}

(3)
{
  "formula": "Sm2Sc2O5",
  "functional": "GGA-PBE",
  "state": "optimized geometry",
  "relative_energy_mev_per_atom": 0,
  "crystal_system": "tetragonal",
  "total_magnetization_mub_per_atom": 0.000,
  "lattice": [[-7.1545, 1.8504, -0.1355], [-0.9665, -3.6262, 1.5107], [0.3117, 1.4800, 3.7521]],
  "species": ["O", "O", "O", "O", "O", "Sm", "Sm", "Sc", "Sc"],
  "fractional_positions": [[0.7636, 0.0000, 0.5000], [0.2364, 0.5000, 0.0000], [0.5000, 0.5000, 0.5000], [0.7636, 0.5000, 0.0000], [0.2364, 0.0000, 0.5000], [0.0000, 0.0000, 0.0000], [0.5000, 0.0000, 0.0000], [0.2305, 0.5000, 0.5000], [0.7695, 0.5000, 0.5000]]
}

(4)
{
  "formula": "Sm2Sc2O5",
  "functional": "GGA-PBE",
  "state": "optimized geometry",
  "relative_energy_mev_per_atom": 342,
  "crystal_system": "tetragonal",
  "total_magnetization_mub_per_atom": 0.203,
  "lattice": [[-5.9231, 7.6873, 1.4486], [-2.7425, -2.3267, 1.1334], [1.2314, 0.2793, 3.5531]],
  "species": ["Sc", "Sc", "O", "O", "O", "O", "O", "Sm", "Sm"],
  "fractional_positions": [[0.5000, 0.0000, 0.0000], [0.0000, 0.0000, 0.0000], [0.8705, 0.0000, 0.5000], [0.8705, 0.5000, 0.0000], [0.1295, 0.5000, 0.0000], [0.1295, 0.0000, 0.5000], [0.5000, 0.5000, 0.5000], [0.7596, 0.5000, 0.5000], [0.2404, 0.5000, 0.5000]]
}

(5)
{
  "formula": "Sm4Sc4O11",
  "functional": "GGA-PBE",
  "state": "optimized geometry",
  "relative_energy_mev_per_atom": 0,
  "crystal_system": "triclinic",
  "total_magnetization_mub_per_atom": 0.000,
  "lattice": [[5.5218, -0.0190, 0.0019], [-0.0199, 5.7560, -0.0104], [0.0028, -0.0143, 7.9500]],
  "species": ["O", "O", "O", "O", "O", "O", "O", "O", "O", "O", "O", "Sc", "Sc", "Sc", "Sc", "Sm", "Sm", "Sm", "Sm"],
  "fractional_positions": [[0.6166, 0.0483, 0.7503], [0.3058, 0.6975, 0.9390], [0.8015, 0.8006, 0.4412], [0.1987, 0.1980, 0.9401], [0.2995, 0.7013, 0.5624], [0.1149, 0.4548, 0.2491], [0.8832, 0.5437, 0.7513], [0.3898, 0.9574, 0.2482], [0.1925, 0.1962, 0.5604], [0.6934, 0.3032, 0.4346], [0.8039, 0.7998, 0.0616], [0.0051, 0.4991, 0.9998], [0.4990, 0.9998, 0.4994], [0.9988, 0.4993, 0.5002], [0.5003, 0.9989, 0.9989], [0.4823, 0.4417, 0.7475], [0.0141, 0.9413, 0.7516], [0.5186, 0.5614, 0.2481], [0.9877, 0.0540, 0.2547]]
}

(6)
{
  "formula": "Sm4Sc4O11",
  "functional": "GGA-PBE",
  "state": "optimized geometry",
  "relative_energy_mev_per_atom": 2,
  "crystal_system": "monoclinic",
  "total_magnetization_mub_per_atom": 0.000,
  "lattice": [[5.5208, 0.0042, 0.0000], [0.0044, 5.7630, 0.0000], [0.0000, 0.0000, 7.9412]],
  "species": ["Sm", "Sm", "Sm", "Sm", "O", "O", "O", "O", "O", "O", "O", "O", "O", "O", "O", "Sc", "Sc", "Sc", "Sc"],
  "fractional_positions": [[0.4827, 0.4424, 0.7500], [0.0148, 0.9412, 0.7500], [0.9869, 0.0504, 0.2500], [0.5280, 0.5597, 0.2500], [0.8038, 0.8033, 0.4423], [0.1923, 0.1982, 0.5582], [0.8810, 0.5485, 0.7500], [0.1923, 0.1982, 0.9418], [0.6957, 0.3029, 0.0596], [0.8038, 0.8033, 0.0577], [0.6149, 0.0476, 0.7500], [0.3860, 0.9549, 0.2500], [0.3035, 0.6964, 0.5593], [0.3035, 0.6964, 0.9407], [0.6957, 0.3029, 0.4404], [0.9985, 0.4993, 0.5003], [0.5002, 0.0012, 0.0006], [0.9985, 0.4993, 0.9997], [0.5002, 0.0012, 0.4994]]
}

(7)
{
  "formula": "Tb3ScO6",
  "functional": "GGA-PBE",
  "state": "optimized geometry",
  "crystal_system": "trigonal",
  "total_magnetization_mub_per_atom": 0.000,
  "total_energy_ev_per_cell": -171.27,
  "lattice": [[-2.8866, 2.7826, 5.2276], [5.8225, -0.2897, 3.0689], [1.4148, 5.8669, -2.6420]],
  "species": ["Tb", "Tb", "Tb", "Tb", "Tb", "Tb", "Sc", "Sc", "O", "O", "O", "O", "O", "O", "O", "O", "O", "O", "O", "O"],
  "fractional_positions": [[0.9317, 0.4390, 0.7471], [0.7471, 0.9317, 0.4390], [0.5610, 0.2529, 0.0683], [0.2529, 0.0683, 0.5610], [0.0683, 0.5610, 0.2529], [0.4390, 0.7471, 0.9317], [0.5000, 0.5000, 0.5000], [0.0000, 0.0000, 0.0000], [0.9315, 0.0853, 0.6944], [0.4629, 0.8053, 0.5924], [0.8053, 0.5924, 0.4629], [0.5924, 0.4629, 0.8053], [0.5371, 0.1947, 0.4076], [0.6944, 0.9315, 0.0853], [0.1947, 0.4076, 0.5371], [0.4076, 0.5371, 0.1947], [0.0685, 0.9147, 0.3056], [0.3056, 0.0685, 0.9147], [0.9147, 0.3056, 0.0685], [0.0853, 0.6944, 0.9315]]
}

(8)
{
  "formula": "ScTc2O4",
  "functional": "GGA-PBE",
  "state": "optimized geometry",
  "crystal_system": "cubic",
  "total_magnetization_mub_per_atom": 0.429,
  "total_energy_ev_per_cell": -115.55,
  "lattice": [[4.3673, -4.3685, 0.0000], [-4.3673, 0.0000, -4.3685], [4.3673, 4.3685, 0.0000]],
  "species": ["Sc", "Sc", "Tc", "Tc", "Tc", "Tc", "O", "O", "O", "O", "O", "O", "O", "O"],
  "fractional_positions": [[0.7500, 0.5000, 0.2500], [0.0000, 0.0000, 0.0000], [0.3750, 0.2500, 0.6250], [0.3750, 0.7500, 0.6250], [0.8750, 0.2500, 0.6250], [0.3750, 0.7500, 0.1250], [0.1312, 0.2622, 0.8689], [0.1311, 0.7378, 0.8688], [0.1311, 0.2622, 0.3933], [0.1433, 0.7622, 0.3811], [0.6188, 0.2378, 0.3811], [0.6190, 0.7622, 0.3812], [0.6189, 0.2378, 0.8567], [0.6067, 0.7378, 0.8689]]
}